# 1
An optimized crystal structure of NiPRu2. Source: the Alexandria database, functional PBE.

Properties
E_form   0.0344 eV per atom

a = 4.5522 Å, b = 4.5522 Å, c = 4.5522 Å
α = 132.42°, β = 132.42°, γ = 69.57°
Fractional positions:
1 P 0.7500 0.2500 0.5000
2 Ru 0.2500 0.7500 0.5000
3 Ru 0.0000 0.0000 0.0000
4 Ni 0.5000 0.5000 0.0000

=====

# 2
An optimized crystal structure of P3Pb. Source: the Alexandria database, functional PBE.

Properties
E_form   0.3564 eV per atom

a = 9.9676 Å, b = 9.9676 Å, c = 3.0895 Å
α = 90.00°, β = 90.00°, γ = 136.76°
Fractional positions:
1 P 0.0118 0.6737 0.2500
2 Pb 0.5863 0.4137 0.2500
3 P 0.9015 0.0985 0.2500
4 Pb 0.4137 0.5863 0.7500
5 P 0.3263 0.9882 0.2500
6 P 0.9882 0.3263 0.7500
7 P 0.0985 0.9015 0.7500
8 P 0.6737 0.0118 0.7500

=====

# 3
An optimized crystal structure of BeHgAu. Source: the Alexandria database, functional PBE.

Properties
E_form   -0.0269 eV per atom

a = 3.0805 Å, b = 3.0972 Å, c = 11.2735 Å
α = 94.51°, β = 98.00°, γ = 89.99°
Fractional positions:
1 Be 0.4122 0.0357 0.1657
2 Au 0.8629 0.5058 0.0688
3 Hg 0.2375 0.6219 0.8446
4 Hg 0.1444 0.9386 0.6021
5 Be 0.9672 0.5477 0.2819
6 Au 0.5168 0.0767 0.3789

=====

# 4
An optimized crystal structure of KZnAg. Source: the Alexandria database, functional PBE.

Properties
E_form   0.0413 eV per atom

a = 4.5899 Å, b = 4.5899 Å, c = 4.8875 Å
α = 90.00°, β = 90.00°, γ = 120.00°
Fractional positions:
1 Zn 0.3333 0.6667 0.8338
2 K 0.6667 0.3333 0.3333
3 Ag 0.0000 0.0000 0.8329

=====

# 5
An optimized crystal structure of AlV2Ge2. Source: the Alexandria database, functional PBE.

Properties
E_form   -0.0966 eV per atom

a = 3.6976 Å, b = 4.8936 Å, c = 9.5546 Å
α = 115.62°, β = 90.00°, γ = 90.00°
Fractional positions:
1 Al 0.2500 0.2188 0.0604
2 Ge 0.7500 0.7092 0.5466
3 V 0.2500 0.7389 0.3687
4 Ge 0.7500 0.6438 0.1700
5 Ge 0.2500 0.3562 0.8300
6 V 0.2500 0.7911 0.7389
7 V 0.7500 0.2611 0.6313
8 V 0.7500 0.2089 0.2611
9 Al 0.7500 0.7812 0.9396
10 Ge 0.2500 0.2908 0.4534

=====

# 6
An optimized crystal structure of SrLiGaNi. Source: the Alexandria database, functional PBE.

Properties
E_form   -0.2779 eV per atom

a = 4.3164 Å, b = 4.3170 Å, c = 5.8320 Å
α = 111.69°, β = 90.00°, γ = 120.00°
Fractional positions:
1 Ni 0.8063 0.6126 0.0605
2 Ga 0.1309 0.2618 0.0348
3 Sr 0.6089 0.2177 0.4694
4 Li 0.4202 0.8404 0.9026